(1)
VASP calculation (PBE) on an optimized crystal structure of BiP2PbS.

a b c (Å): 5.185 5.185 5.098
angles (deg): 90.00 90.00 90.00
Sites, in units of the cell vectors:
Bi1 0.000 0.000 0.000
P1 0.000 0.500 0.500
P2 0.500 0.000 0.500
Pb1 0.500 0.500 0.500
S1 0.500 0.500 0.000

Results
Space group: No. 123
Total magnetization in μB/f.u.: 0.00
VASP energy in eV/atom: -3.525


(2)
VASP calculation (PBE) on an optimized crystal structure of Ca2HgSb3Rh4.

a b c (Å): 4.382 4.382 11.207
angles (deg): 90.00 90.00 90.00
Sites, in units of the cell vectors:
Ca1 0.000 0.500 0.246
Ca2 0.500 0.000 0.754
Hg1 0.500 0.500 0.000
Sb1 0.000 0.000 0.000
Sb2 0.000 0.500 0.631
Sb3 0.500 0.000 0.369
Rh1 0.000 0.000 0.500
Rh2 0.000 0.500 0.857
Rh3 0.500 0.000 0.143
Rh4 0.500 0.500 0.500

Results
Space group: No. 115
Total magnetization in μB/f.u.: 0.00
VASP energy in eV/atom: -5.186


(3)
VASP calculation (PBE) on an optimized crystal structure of Tl5TeSe6.

a b c (Å): 7.395 7.395 7.709
angles (deg): 98.90 98.90 119.89
Sites, in units of the cell vectors:
Tl1 0.000 0.000 0.000
Tl2 0.166 0.834 0.500
Tl3 0.328 0.672 0.000
Tl4 0.672 0.328 0.000
Tl5 0.834 0.166 0.500
Te1 0.500 0.500 0.500
Se1 0.107 0.424 0.276
Se2 0.260 0.260 0.732
Se3 0.424 0.107 0.276
Se4 0.576 0.893 0.724
Se5 0.740 0.740 0.268
Se6 0.893 0.576 0.724

Results
Space group: No. 12
Total magnetization in μB/f.u.: 0.00
VASP energy in eV/atom: -3.219


(4)
VASP calculation (PBE) on an optimized crystal structure of TbUSb2.

a b c (Å): 7.973 7.973 7.973
angles (deg): 31.35 31.35 31.35
Sites, in units of the cell vectors:
Tb1 0.000 0.000 0.000
U1 0.829 0.829 0.829
Sb1 0.246 0.246 0.246
Sb2 0.416 0.416 0.416

Results
Space group: No. 160
Total magnetization in μB/f.u.: 2.84
VASP energy in eV/atom: -6.593


(5)
VASP calculation (PBE) on an optimized crystal structure of NaHgAs2O6.

a b c (Å): 7.311 7.311 6.160
angles (deg): 105.51 105.51 83.18
Sites, in units of the cell vectors:
Na1 0.224 0.776 0.750
Na2 0.776 0.224 0.250
Hg1 0.391 0.609 0.250
Hg2 0.609 0.391 0.750
As1 0.122 0.293 0.726
As2 0.293 0.122 0.226
As3 0.707 0.878 0.774
As4 0.878 0.707 0.274
O1 0.103 0.607 0.346
O2 0.140 0.152 0.940
O3 0.152 0.140 0.440
O4 0.291 0.465 0.836
O5 0.393 0.897 0.154
O6 0.465 0.291 0.336
O7 0.535 0.709 0.664
O8 0.607 0.103 0.846
O9 0.709 0.535 0.164
O10 0.848 0.860 0.560
O11 0.860 0.848 0.060
O12 0.897 0.393 0.654

Results
Space group: No. 15
Total magnetization in μB/f.u.: 0.00
VASP energy in eV/atom: -5.135


(6)
VASP calculation (PBE) on an optimized crystal structure of Dy3Y4Er2.

a b c (Å): 9.964 9.964 6.107
angles (deg): 94.89 94.89 70.73
Sites, in units of the cell vectors:
Dy1 0.094 0.906 0.750
Dy2 0.235 0.430 0.919
Dy3 0.430 0.235 0.419
Dy4 0.570 0.765 0.581
Dy5 0.765 0.570 0.081
Dy6 0.906 0.094 0.250
Y1 0.072 0.351 0.348
Y2 0.312 0.596 0.487
Y3 0.351 0.072 0.848
Y4 0.404 0.688 0.013
Y5 0.596 0.312 0.987
Y6 0.649 0.928 0.152
Y7 0.688 0.404 0.513
Y8 0.928 0.649 0.652
Er1 0.023 0.739 0.179
Er2 0.261 0.977 0.321
Er3 0.739 0.023 0.679
Er4 0.977 0.261 0.821

Results
E_form in eV/atom: 0.102
Space group: No. 15
Total magnetization in μB/f.u.: 0.00


(7)
VASP calculation (PBE) on an optimized crystal structure of NdPaCd.

a b c (Å): 9.306 8.748 4.935
angles (deg): 80.48 67.99 31.53
Sites, in units of the cell vectors:
Nd1 0.100 0.100 0.900
Nd2 0.900 0.900 0.100
Pa1 0.250 0.250 0.250
Pa2 0.750 0.750 0.750
Cd1 0.333 0.667 0.333
Cd2 0.667 0.333 0.667

Results
E_form in eV/atom: 0.481
Space group: No. 69
Total magnetization in μB/f.u.: 1.87


(8)
VASP calculation (PBE) on an optimized crystal structure of Na3TaPt.

a b c (Å): 5.728 5.728 5.728
angles (deg): 90.00 90.00 90.00
Sites, in units of the cell vectors:
Na1 0.000 0.000 0.500
Na2 0.000 0.500 0.000
Na3 0.500 0.000 0.000
Ta1 0.000 0.000 0.000
Pt1 0.500 0.500 0.500

Results
E_form in eV/atom: 1.902
Space group: No. 221
Total magnetization in μB/f.u.: 4.01


Q: Which of these has the highest total magnetization?
A: Na3TaPt


Q: What is the formula in the seventh record?
A: NdPaCd


Q: What is the total magnetization in the second record?
A: 0.00 μB/f.u.